A plane-wave DFT calculation with GGA-PBEsol was carried out for a relaxed structure of Y2Co17.

As for the formation enthalpy at 0 K: -0.089 eV/atom. The electronic total energy comes out at -7.73 eV per atom. For the density of states at the Fermi level, the calculation gives 57.091 states/eV per cell.

It has space group R-3m (No. 166, hexagonal axes), with a = 8.1655 Å, b = 8.1655 Å, c = 11.8913 Å, α = 90.00°, β = 90.00° and γ = 120.00°. The distinct sites, in fractional coordinates, are Y at (0.0000, 0.0000, 0.1556), Co at (0.0000, 0.0000, 0.4033), Co at (0.0000, 0.2885, 0.5000), Co at (0.0000, 0.5000, 0.0000) and Co at (0.0030, 0.5015, 0.3474).